1.
4
Lattice="0.000 4.378 4.378 4.378 0.000 4.378 4.378 4.378 0.000" Properties=species:S:1:pos:R:3 comment="PBE K2HfBr, optimized geometry" e_above_lowest_polymorph_mev_per_atom=196.2 space_group="Fm-3m, No. 225" crystal_system=cubic pbc="T T T"
K 2.189 2.189 2.189
K 6.567 6.567 6.567
Hf 0.000 0.000 0.000
Br 4.378 4.378 4.378



2.
4
Lattice="1.786 -2.100 0.000 1.786 2.100 0.000 0.000 0.000 9.986" Properties=species:S:1:pos:R:3 comment="PBE CaMgW2, optimized geometry" ef_mev_per_atom=710.6 space_group="Cmmm, No. 65" crystal_system=orthorhombic pbc="T T T"
Ca 0.000 0.000 0.000
Mg 0.000 0.000 4.993
W 1.786 0.000 2.662
W 1.786 0.000 7.324



3.
5
Lattice="4.271 0.000 0.000 0.000 4.271 0.000 0.000 0.000 4.046" Properties=species:S:1:pos:R:3 comment="PBE AuCOF2, optimized geometry" e_above_lowest_polymorph_mev_per_atom=756.3 space_group="P4/mmm, No. 123" crystal_system=tetragonal pbc="T T T"
Au 0.000 0.000 0.000
C 2.135 2.135 2.023
O 0.000 0.000 2.023
F 0.000 2.135 0.000
F 2.135 0.000 0.000



4.
4
Lattice="0.000 2.867 2.867 2.867 0.000 2.867 2.867 2.867 0.000" Properties=species:S:1:pos:R:3 comment="PBE Cr2SiP, optimized geometry" e_above_lowest_polymorph_mev_per_atom=236.3 space_group="Fm-3m, No. 225" crystal_system=cubic pbc="T T T"
Cr 1.433 1.433 1.433
Cr 4.300 4.300 4.300
Si 0.000 0.000 0.000
P 2.867 2.867 2.867



Number 1: ρ 3.33 g cm⁻³, N(E_F) 3.21 states/eV/f.u., total moment 0.750 μB/atom. Number 2: ρ 9.58 g cm⁻³, N(E_F) 2.34 states/eV/f.u., total moment 0.000 μB/atom. Number 3: ρ 5.92 g cm⁻³, N(E_F) 4.13 states/eV/f.u., total moment 0.156 μB/atom. Number 4: ρ 5.75 g cm⁻³, N(E_F) 3.34 states/eV/f.u., total moment 0.429 μB/atom.